1.
5
Lattice="4.221 0.000 0.000 0.000 4.221 0.000 0.000 0.000 4.324" Properties=species:S:1:pos:R:3 comment="FeCo2BrCl, single point on PBEsol structure, DFT SCAN" total_energy_ev_per_atom=-15.20 magnetic_moment_mub_per_cell=6.0 raw_formation_energy_ev_per_fu=4.16 density_g_cm3=6.231 pbc="T T T"
Fe 0.000 0.000 0.000
Co 0.000 2.110 2.162
Co 2.110 0.000 2.162
Br 2.110 2.110 0.000
Cl 0.000 0.000 2.162

---

2.
12
Lattice="6.609 0.000 0.000 0.000 6.609 0.000 0.000 0.000 6.609" Properties=species:S:1:pos:R:3 comment="CrBrCl, single point on PBEsol structure, DFT SCAN" total_energy_ev_per_atom=-15.24 magnetic_moment_mub_per_cell=16.0 raw_formation_energy_ev_per_fu=0.10 density_g_cm3=3.851 pbc="T T T"
Cr 0.000 0.000 0.000
Cr 0.000 3.305 3.305
Cr 3.305 0.000 3.305
Cr 3.305 3.305 0.000
Br 1.652 1.652 4.957
Br 1.652 4.957 1.652
Br 4.957 1.652 1.652
Br 4.957 4.957 4.957
Cl 0.000 0.000 3.305
Cl 0.000 3.305 0.000
Cl 3.305 0.000 0.000
Cl 3.305 3.305 3.305

---

3.
4
Lattice="3.700 0.000 0.000 0.000 3.700 0.000 0.000 0.000 6.397" Properties=species:S:1:pos:R:3 comment="Cr2BrCl, single point on PBEsol structure, DFT SCAN" total_energy_ev_per_atom=-16.37 magnetic_moment_mub_per_cell=10.0 relative_energy_mev_per_atom=0 raw_formation_energy_ev_per_fu=-1.28 density_g_cm3=4.158 pbc="T T T"
Cr 0.000 0.000 0.000
Cr 1.850 1.850 2.741
Br 0.000 0.000 3.676
Cl 1.850 1.850 0.215

---

4.
12
Lattice="3.399 0.000 0.000 -1.699 2.943 0.000 0.000 0.000 29.237" Properties=species:S:1:pos:R:3 comment="CrBrCl2, single point on PBEsol structure, DFT SCAN" total_energy_ev_per_atom=-14.23 magnetic_moment_mub_per_cell=11.0 relative_energy_mev_per_atom=89 raw_formation_energy_ev_per_fu=-3.10 density_g_cm3=3.454 pbc="T T T"
Cr 0.000 0.000 0.000
Cr 0.000 1.962 19.491
Cr 1.699 0.981 9.746
Br 0.000 0.000 14.618
Br 0.000 1.962 4.873
Br 1.699 0.981 24.364
Cl 0.000 0.000 11.156
Cl 0.000 0.000 18.081
Cl 0.000 1.962 1.411
Cl 0.000 1.962 8.335
Cl 1.699 0.981 20.902
Cl 1.699 0.981 27.826

---

5.
4
Lattice="3.645 0.000 0.000 0.000 3.724 0.000 -0.111 0.000 6.391" Properties=species:S:1:pos:R:3 comment="Cr2BrCl, single point on PBEsol structure, DFT SCAN" total_energy_ev_per_atom=-16.35 magnetic_moment_mub_per_cell=10.0 relative_energy_mev_per_atom=26 raw_formation_energy_ev_per_fu=-1.17 density_g_cm3=4.199 pbc="T T T"
Cr 0.420 0.000 1.703
Cr 3.114 0.000 4.688
Br 1.767 1.862 3.195
Cl 0.000 1.862 0.000

---

6.
16
Lattice="8.178 0.000 0.000 0.000 8.178 0.000 0.000 0.000 5.218" Properties=species:S:1:pos:R:3 comment="CrBrCl2, single point on PBEsol structure, DFT SCAN" total_energy_ev_per_atom=-14.31 magnetic_moment_mub_per_cell=12.0 relative_energy_mev_per_atom=0 raw_formation_energy_ev_per_fu=-3.46 density_g_cm3=3.860 pbc="T T T"
Cr 0.000 0.000 0.000
Cr 0.000 4.089 1.304
Cr 4.089 0.000 3.913
Cr 4.089 4.089 2.609
Br 0.000 0.000 2.609
Br 0.000 4.089 3.913
Br 4.089 0.000 1.304
Br 4.089 4.089 0.000
Cl 0.984 2.044 0.652
Cl 2.044 5.073 1.957
Cl 2.044 7.193 4.566
Cl 3.105 2.044 3.261
Cl 5.073 6.133 3.261
Cl 6.133 0.984 4.566
Cl 6.133 3.105 1.957
Cl 7.193 6.133 0.652

---

7.
4
Lattice="3.063 0.000 0.000 0.000 3.063 0.000 0.000 0.000 9.444" Properties=species:S:1:pos:R:3 comment="CrBrCl2, single point on PBEsol structure, DFT SCAN" total_energy_ev_per_atom=-13.95 magnetic_moment_mub_per_cell=3.9 relative_energy_mev_per_atom=367 raw_formation_energy_ev_per_fu=-1.99 density_g_cm3=3.801 pbc="T T T"
Cr 0.000 0.000 0.000
Br 0.000 0.000 4.722
Cl 1.532 1.532 1.473
Cl 1.532 1.532 7.971

---

8.
4
Lattice="2.852 0.000 0.000 0.000 2.852 0.000 0.000 0.000 7.818" Properties=species:S:1:pos:R:3 comment="Cr2BrCl, single point on PBEsol structure, DFT SCAN" total_energy_ev_per_atom=-15.97 magnetic_moment_mub_per_cell=0.3 relative_energy_mev_per_atom=402 raw_formation_energy_ev_per_fu=0.33 density_g_cm3=5.728 pbc="T T T"
Cr 0.000 0.000 0.000
Cr 1.426 1.426 1.758
Br 0.000 0.000 3.200
Cl 1.426 1.426 6.492

---

9.
6
Lattice="0.000 3.457 3.457 3.457 0.000 3.457 3.457 3.457 0.000" Properties=species:S:1:pos:R:3 comment="Cr4BrCl, single point on PBEsol structure, DFT SCAN" total_energy_ev_per_atom=-15.48 magnetic_moment_mub_per_cell=0.0 raw_formation_energy_ev_per_fu=8.08 density_g_cm3=6.500 pbc="T T T"
Cr 0.851 0.851 0.851
Cr 2.606 2.606 0.851
Cr 2.606 0.851 2.606
Cr 0.851 2.606 2.606
Br 3.457 3.457 3.457
Cl 5.185 5.185 5.185

---

10.
6
Lattice="0.000 3.975 3.975 3.975 0.000 3.975 3.975 3.975 0.000" Properties=species:S:1:pos:R:3 comment="CrBrCl4, single point on PBEsol structure, DFT SCAN" total_energy_ev_per_atom=-11.12 magnetic_moment_mub_per_cell=4.9 raw_formation_energy_ev_per_fu=3.01 density_g_cm3=3.617 pbc="T T T"
Cr 0.000 0.000 0.000
Br 1.988 1.988 1.988
Cl 4.972 2.978 2.978
Cl 2.978 4.972 2.978
Cl 2.978 2.978 4.972
Cl 4.972 4.972 4.972

---

11.
14
Lattice="7.016 0.000 0.000 0.000 3.508 8.101 0.000 -3.508 8.101" Properties=species:S:1:pos:R:3 comment="Rb2CrBrCl3, single point on PBEsol structure, DFT SCAN" total_energy_ev_per_atom=-16.56 magnetic_moment_mub_per_cell=8.0 raw_formation_energy_ev_per_fu=-12.64 density_g_cm3=3.408 pbc="T T T"
Rb 0.000 0.000 0.000
Rb 0.000 0.000 4.475
Rb 3.508 0.000 8.101
Rb 3.508 0.000 12.576
Cr 0.000 0.000 10.422
Cr 3.508 0.000 2.321
Br 0.000 0.000 7.834
Br 3.508 0.000 15.935
Cl 0.000 0.000 12.829
Cl 1.746 1.745 10.389
Cl 1.762 -1.764 10.389
Cl 3.508 0.000 4.728
Cl 5.254 1.764 10.389
Cl 5.270 -1.745 10.389

---

12.
14
Lattice="8.282 -3.514 0.000 8.282 3.514 0.000 0.000 0.000 7.032" Properties=species:S:1:pos:R:3 comment="Rb2CrBr2Cl2, single point on PBEsol structure, DFT SCAN" total_energy_ev_per_atom=-18.13 magnetic_moment_mub_per_cell=8.0 raw_formation_energy_ev_per_fu=-12.17 density_g_cm3=3.680 pbc="T T T"
Rb 2.252 0.000 0.000
Rb 6.030 0.000 3.516
Rb 10.534 0.000 3.516
Rb 14.313 0.000 0.000
Cr 0.000 0.000 3.516
Cr 8.282 0.000 0.000
Br 2.580 0.000 3.516
Br 5.702 0.000 0.000
Br 10.862 0.000 0.000
Br 13.985 0.000 3.516
Cl 8.282 1.770 5.261
Cl 8.282 1.744 1.745
Cl 8.282 -1.744 5.287
Cl 8.282 -1.770 1.771